Record 1
LiCrSe3: optimized geometry, PBE.

abc: 6.9795 8.2939 6.7861
angles: 90.00 90.00 90.00
Space group Pnma (No. 62)
One atom of each set of equivalent atoms:
Li (0.1123, 0.2500, 0.0185) x4
Cr (0.0000, 0.0000, 0.5000) x4
Se (0.0483, 0.7500, 0.3178) x4
Se (0.1951, 0.5985, 0.8125) x8

Computed properties:
* formation energy (no corrections): -2.7 eV/f.u.
* calculated total energy: -4.95 eV/atom
* energy above the most stable polymorph in this dataset: 52 meV/atom


Record 2
LiCrSe3: optimized geometry, PBE.

abc: 6.0721 6.7127 6.8009
angles: 64.97 76.13 70.41
Space group P1 (No. 1)
One atom of each set of equivalent atoms:
Li (0.0000, 0.0000, 0.0000) x1
Li (0.2730, 0.7118, 0.5149) x1
Cr (0.3531, 0.2720, 0.4222) x1
Cr (0.7970, 0.0726, 0.5856) x1
Se (0.1053, 0.1414, 0.2858) x1
Se (0.3676, 0.5942, 0.1538) x1
Se (0.4534, 0.2720, 0.7373) x1
Se (0.6552, 0.9766, 0.3504) x1
Se (0.9125, 0.7338, 0.8469) x1
Se (0.9584, 0.3342, 0.6297) x1

Computed properties:
* formation energy (no corrections): -2.6 eV/f.u.
* calculated total energy: -4.91 eV/atom
* energy above the most stable polymorph in this dataset: 90 meV/atom


Record 3
Li2CrSe: optimized geometry, PBE.

abc: 3.9032 3.9032 4.1336
angles: 90.00 90.00 90.00
Space group P4/mmm (No. 123)
One atom of each set of equivalent atoms:
Li (0.0000, 0.5000, 0.0000) x2
Cr (0.0000, 0.0000, 0.5000) x1
Se (0.5000, 0.5000, 0.5000) x1

Computed properties:
* formation energy (no corrections): -1.2 eV/f.u.
* calculated total energy: -4.52 eV/atom


Record 4
LiCrSe3: optimized geometry, PBE.

abc: 6.3490 6.3490 17.3374
angles: 90.00 90.00 120.00
Space group R-3 (No. 148, hexagonal axes)
One atom of each set of equivalent atoms:
Li (0.0000, 0.0000, 0.1557) x6
Cr (0.0000, 0.0000, 0.3307) x6
Se (0.0057, 0.6506, 0.0782) x18

Computed properties:
* formation energy (no corrections): -2.6 eV/f.u.
* calculated total energy: -4.92 eV/atom
* energy above the most stable polymorph in this dataset: 78 meV/atom


Record 5
LiCrSe3: optimized geometry, PBE.

abc: 6.1617 6.8020 6.9560
angles: 116.11 112.78 96.34
Space group P1 (No. 1)
One atom of each set of equivalent atoms:
Li (0.0000, 0.0000, 0.0000) x1
Li (0.3377, 0.3382, 0.6762) x1
Cr (0.2617, 0.5954, 0.3384) x1
Cr (0.8333, 0.4030, 0.3382) x1
Se (0.2029, 0.6972, 0.6780) x1
Se (0.3379, 0.9195, 0.3386) x1
Se (0.3878, 0.3225, 0.0654) x1
Se (0.6598, 0.5953, 0.6113) x1
Se (0.8215, 0.0803, 0.3380) x1
Se (0.8648, 0.3579, 0.9986) x1

Computed properties:
* formation energy (no corrections): -2.6 eV/f.u.
* calculated total energy: -4.92 eV/atom
* energy above the most stable polymorph in this dataset: 82 meV/atom


Record 6
LiCrSe3: optimized geometry, PBE.

abc: 5.6689 5.6689 12.6693
angles: 90.00 90.00 120.00
Space group R-3m (No. 166, hexagonal axes)
One atom of each set of equivalent atoms:
Li (0.0000, 0.0000, 0.0000) x3
Cr (0.0000, 0.0000, 0.5000) x3
Se (0.0000, 0.5000, 0.5000) x9

Computed properties:
* formation energy (no corrections): -0.6 eV/f.u.
* calculated total energy: -4.51 eV/atom
* energy above the most stable polymorph in this dataset: 490 meV/atom


Record 7
LiCrSe3: optimized geometry, PBE.

abc: 6.0026 11.6623 5.8928
angles: 90.00 90.00 90.00
Space group Pnma (No. 62)
One atom of each set of equivalent atoms:
Li (0.0000, 0.0000, 0.0000) x4
Cr (0.1352, 0.2500, 0.4423) x4
Se (0.0198, 0.7500, 0.1830) x4
Se (0.1728, 0.6157, 0.6784) x8

Computed properties:
* formation energy (no corrections): -2.1 eV/f.u.
* calculated total energy: -4.82 eV/atom
* energy above the most stable polymorph in this dataset: 176 meV/atom


Record 8
LiCr2Se: optimized geometry, PBE.

abc: 8.2341 3.1634 5.1843
angles: 90.00 99.77 90.00
Space group Cm (No. 8)
One atom of each set of equivalent atoms:
Li (0.0000, 0.0000, 0.0000) x2
Cr (0.2214, 0.0000, 0.6508) x2
Cr (0.4912, 0.0000, 0.5020) x2
Se (0.2481, 0.5000, 0.2576) x2

Computed properties:
* formation energy (no corrections): 0.5 eV/f.u.
* calculated total energy: -6.03 eV/atom


Record 9
LiCrSe3: optimized geometry, PBE.

abc: 12.2593 13.3434 6.3019
angles: 90.00 102.90 90.00
Space group C2/c (No. 15)
One atom of each set of equivalent atoms:
Li (0.0000, 0.0287, 0.2500) x4
Li (0.0000, 0.2816, 0.7500) x4
Cr (0.2161, 0.4219, 0.3491) x8
Se (0.1014, 0.1231, 0.5996) x8
Se (0.1076, 0.3015, 0.1850) x8
Se (0.1621, 0.4246, 0.6813) x8

Computed properties:
* formation energy (no corrections): -2.2 eV/f.u.
* calculated total energy: -4.84 eV/atom
* energy above the most stable polymorph in this dataset: 157 meV/atom


Record 10
LiCrSe: optimized geometry, PBE.

abc: 6.1552 6.1552 6.1552
angles: 90.00 90.00 90.00
Space group F-43m (No. 216)
One atom of each set of equivalent atoms:
Li (0.0000, 0.0000, 0.0000) x4
Cr (0.0000, 0.0000, 0.5000) x4
Se (0.2500, 0.2500, 0.2500) x4

Computed properties:
* formation energy (no corrections): -1.0 eV/f.u.
* calculated total energy: -5.33 eV/atom
* energy above the most stable polymorph in this dataset: 108 meV/atom


Record 11
LiCrSe3: optimized geometry, PBE.

abc: 3.0884 7.2316 13.2905
angles: 90.00 90.00 90.00
Space group Amm2 (No. 38)
One atom of each set of equivalent atoms:
Li (0.0000, 0.0000, 0.0000) x2
Cr (0.5000, 0.0000, 0.6779) x2
Se (0.0000, 0.2257, 0.6231) x4
Se (0.5000, 0.0000, 0.8497) x2

Computed properties:
* formation energy (no corrections): -2.1 eV/f.u.
* calculated total energy: -4.81 eV/atom
* energy above the most stable polymorph in this dataset: 187 meV/atom


Record 12
LiCr2Se: optimized geometry, PBE.

abc: 2.8159 2.8159 24.8494
angles: 90.00 90.00 120.00
Space group R-3m (No. 166, hexagonal axes)
One atom of each set of equivalent atoms:
Li (0.0000, 0.0000, 0.0000) x3
Cr (0.0000, 0.0000, 0.2411) x6
Se (0.0000, 0.0000, 0.5000) x3

Computed properties:
* formation energy (no corrections): 2.3 eV/f.u.
* calculated total energy: -5.58 eV/atom